{"formula": "AsIr2Ru", "functional": "PBE", "state": "relaxed", "lattice_angstrom": [[-1.312, -0.965, -5.347], [-3.531, -4.029, 1.594], [-6.439, 1.153, -1.550]], "species": ["As", "As", "Ir", "Ir", "Ir", "Ir", "Ru", "Ru"], "fractional_positions": [[0.500, 0.500, 0.000], [0.250, 0.750, 0.500], [0.875, 0.875, 0.750], [0.125, 0.625, 0.250], [0.375, 0.375, 0.750], [0.625, 0.125, 0.250], [0.750, 0.250, 0.500], [0.000, 0.000, 0.000]], "ef_ev_per_atom": 0.635, "crystal_system": "tetragonal"}